A geometry-optimized AcAl5Au7 structure, computed with PBE.

a = 5.592 Å, b = 9.487 Å, c = 9.191 Å
α = 90.00°, β = 90.00°, γ = 90.00°
Space group Imm2 (No. 44)
Asymmetric unit:
Ac1 0.000 0.000 0.000 (multiplicity 2)
Al1 0.000 0.500 0.257 (multiplicity 2)
Al2 0.243 0.257 0.744 (multiplicity 8)
Au1 0.000 0.000 0.338 (multiplicity 2)
Au2 0.000 0.000 0.672 (multiplicity 2)
Au3 0.000 0.301 0.479 (multiplicity 4)
Au4 0.000 0.340 0.015 (multiplicity 4)
Au5 0.000 0.500 0.730 (multiplicity 2)

The formation energy is -0.466 eV/atom.

A geometry-optimized NaZr2Pt structure, computed with PBE.

a = 6.827 Å, b = 6.827 Å, c = 6.827 Å
α = 90.00°, β = 90.00°, γ = 90.00°
Space group Fm-3m (No. 225)
Asymmetric unit:
Na1 0.000 0.000 0.000 (multiplicity 4)
Zr1 0.250 0.250 0.250 (multiplicity 8)
Pt1 0.000 0.000 0.500 (multiplicity 4)

The calculation puts the polymorph energy (0 for the lowest one) at 0.000 eV per formula unit. The formation energy is -0.103 eV/atom.

A geometry-optimized NaTaCr2 structure, computed with PBE.

a = 7.100 Å, b = 7.100 Å, c = 5.909 Å
α = 90.00°, β = 90.00°, γ = 90.00°
Space group I-42d (No. 122)
Asymmetric unit:
Na1 0.000 0.000 0.000 (multiplicity 4)
Ta1 0.000 0.000 0.500 (multiplicity 4)
Cr1 0.236 0.250 0.625 (multiplicity 8)

The calculation puts the polymorph energy (0 for the lowest one) at 0.904 eV per formula unit. The formation energy is 1.337 eV/atom.

A geometry-optimized LiNdSmFe structure, computed with PBE.

a = 7.089 Å, b = 7.089 Å, c = 7.089 Å
α = 90.00°, β = 90.00°, γ = 90.00°
Space group F-43m (No. 216)
Asymmetric unit:
Li1 0.000 0.000 0.000 (multiplicity 4)
Nd1 0.250 0.250 0.250 (multiplicity 4)
Sm1 0.250 0.250 0.750 (multiplicity 4)
Fe1 0.000 0.000 0.500 (multiplicity 4)

The formation energy is 0.166 eV/atom.

A geometry-optimized Ce6Tl2Re structure, computed with PBE.

a = 3.601 Å, b = 16.274 Å, c = 8.245 Å
α = 90.00°, β = 90.00°, γ = 90.00°
Space group Amm2 (No. 38)
Asymmetric unit:
Ce1 0.000 0.000 0.000 (multiplicity 2)
Ce2 0.000 0.133 0.648 (multiplicity 4)
Ce3 0.500 0.000 0.354 (multiplicity 2)
Ce4 0.500 0.181 0.918 (multiplicity 4)
Tl1 0.000 0.166 0.252 (multiplicity 4)
Re1 0.500 0.000 0.734 (multiplicity 2)

The calculation puts the polymorph energy (0 for the lowest one) at 0.126 eV per formula unit. The formation energy is -0.074 eV/atom.

A geometry-optimized MgPdAu4 structure, computed with PBE.

a = 5.044 Å, b = 8.793 Å, c = 5.015 Å
α = 90.00°, β = 110.16°, γ = 90.00°
Space group C2/m (No. 12)
Asymmetric unit:
Mg1 0.000 0.000 0.000 (multiplicity 2)
Pd1 0.000 0.500 0.500 (multiplicity 2)
Au1 0.000 0.165 0.500 (multiplicity 4)
Au2 0.000 0.336 0.000 (multiplicity 4)

The calculation puts the polymorph energy (0 for the lowest one) at 0.000 eV per formula unit. The formation energy is -0.322 eV/atom.

A geometry-optimized Cs2LaH4 structure, computed with PBE.

a = 4.698 Å, b = 4.698 Å, c = 16.101 Å
α = 90.00°, β = 90.00°, γ = 90.00°
Space group I4/mmm (No. 139)
Asymmetric unit:
Cs1 0.000 0.000 0.156 (multiplicity 4)
La1 0.000 0.000 0.500 (multiplicity 2)
H1 0.000 0.000 0.350 (multiplicity 4)
H2 0.000 0.500 0.000 (multiplicity 4)

The value obtained for the final energy is -43.18 eV per cell.

A geometry-optimized NaPuSnIr structure, computed with PBE.

a = 6.897 Å, b = 6.897 Å, c = 6.897 Å
α = 90.00°, β = 90.00°, γ = 90.00°
Space group F-43m (No. 216)
Asymmetric unit:
Na1 0.000 0.000 0.000 (multiplicity 4)
Pu1 0.250 0.250 0.750 (multiplicity 4)
Sn1 0.250 0.250 0.250 (multiplicity 4)
Ir1 0.000 0.000 0.500 (multiplicity 4)

The formation energy is -0.156 eV/atom.

In μB/f.u., the total magnetization values for the records above are, in order, 0.0 0.0 5.9 0.8 3.0 0.0 0.0 4.9.